Entry 1:
VASP calculation (PBE-GGA) on a geometry-optimized BaSn8Pd2 structure.

Unit cell a=6.4771 b=6.4771 c=8.7966 alpha=90.00 beta=90.00 gamma=90.00
With the nearest neighbours (Å) after each atom.
Space group P4/mmm (No. 123)
Symmetry-distinct sites (fractional):
Ba (0.0000, 0.0000, 0.0000) x1  8 Sn 3.64
Sn (0.2543, 0.2543, 0.3173) x8  2 Pd 2.80
Pd (0.0000, 0.5000, 0.5000) x2  8 Sn 2.80

Computed properties:
DFT formation energy   -222 meV per atom
Relative energy among the computed polymorphs   31 meV per atom
Electronic total energy   -46.8 eV per formula unit



Entry 2:
VASP calculation (PBE-GGA) on a geometry-optimized In3SiPb structure.

Unit cell a=5.7593 b=5.7593 c=5.7593 alpha=90.00 beta=90.00 gamma=90.00
With the nearest neighbours (Å) after each atom.
Space group Pm-3m (No. 221)
Symmetry-distinct sites (fractional):
In (0.0000, 0.0000, 0.5000) x3  2 Pb 2.88
Si (0.5000, 0.5000, 0.5000) x1  12 In 4.07
Pb (0.0000, 0.0000, 0.0000) x1  6 In 2.88

Computed properties:
Formation energy without anion corrections   4.93 eV per formula unit
Relative energy among the computed polymorphs   626 meV per atom
Electronic total energy   -12.4 eV per formula unit



Entry 3:
VASP calculation (PBE-GGA) on a geometry-optimized GePIr3 structure.

Unit cell a=4.4480 b=4.4480 c=4.4480 alpha=90.00 beta=90.00 gamma=90.00
With the nearest neighbours (Å) after each atom.
Space group Pm-3m (No. 221)
Symmetry-distinct sites (fractional):
Ge (0.0000, 0.0000, 0.0000) x1  12 Ir 3.15
P (0.5000, 0.5000, 0.5000) x1  6 Ir 2.22
Ir (0.0000, 0.5000, 0.5000) x3  2 P 2.22

Computed properties:
DFT formation energy   584 meV per atom
Relative energy among the computed polymorphs   0 meV per atom
Electronic total energy   -33.7 eV per formula unit



Entry 4:
VASP calculation (PBE-GGA) on a geometry-optimized Li2TaTl structure.

Unit cell a=4.6897 b=4.6897 c=6.6631 alpha=90.00 beta=90.00 gamma=90.00
With the nearest neighbours (Å) after each atom.
Space group I-4m2 (No. 119)
Symmetry-distinct sites (fractional):
Li (0.0000, 0.0000, 0.0000) x2  4 Ta 2.88, 4 Li 2.88
Li (0.0000, 0.5000, 0.2500) x2  4 Li 2.88, 4 Tl 2.88
Ta (0.0000, 0.5000, 0.7500) x2  4 Tl 2.88, 4 Li 2.88
Tl (0.0000, 0.0000, 0.5000) x2  4 Ta 2.88, 4 Li 2.88

Computed properties:
DFT formation energy   508 meV per atom
Electronic total energy   -16.0 eV per formula unit



Entry 5:
VASP calculation (PBE-GGA) on a geometry-optimized Zr2FeSb structure.

Unit cell a=3.6620 b=3.6620 c=6.0782 alpha=90.00 beta=90.00 gamma=90.00
With the nearest neighbours (Å) after each atom.
Space group P4mm (No. 99)
Symmetry-distinct sites (fractional):
Zr (0.0000, 0.0000, 0.0000) x1  4 Sb 2.97, 2 Fe 2.98-3.09, 4 Zr 3.11
Zr (0.5000, 0.5000, 0.2826) x1  2 Sb 2.91-3.17, 4 Fe 2.93, 4 Zr 3.11
Fe (0.0000, 0.0000, 0.5092) x1  6 Zr 2.93-3.09, 4 Sb 3.01
Sb (0.5000, 0.5000, 0.7618) x1  6 Zr 2.91-3.17, 4 Fe 3.01

Computed properties:
Formation energy without anion corrections   -0.63 eV per formula unit
Electronic total energy   -30.3 eV per formula unit



Entry 6:
VASP calculation (PBE-GGA) on a geometry-optimized Pu2CuN structure.

Unit cell a=3.2254 b=3.2254 c=26.2040 alpha=90.00 beta=90.00 gamma=120.00
With the nearest neighbours (Å) after each atom.
Space group R-3m (No. 166, hexagonal axes)
Symmetry-distinct sites (fractional):
Pu (0.0000, 0.0000, 0.1101) x6  3 N 2.38
Cu (0.0000, 0.0000, 0.0000) x3  2 Pu 2.89, 6 Cu 3.23
N (0.0000, 0.0000, 0.5000) x3  6 Pu 2.38

Computed properties:
Formation energy without anion corrections   -0.68 eV per formula unit
Electronic total energy   -41.8 eV per formula unit



Entry 7:
VASP calculation (PBE-GGA) on a geometry-optimized MgGa3C structure.

Unit cell a=5.0973 b=5.0973 c=5.0973 alpha=90.00 beta=90.00 gamma=90.00
With the nearest neighbours (Å) after each atom.
Space group Pm-3m (No. 221)
Symmetry-distinct sites (fractional):
Mg (0.0000, 0.0000, 0.0000) x1  6 Ga 2.55
Ga (0.0000, 0.0000, 0.5000) x3  2 Mg 2.55
C (0.5000, 0.5000, 0.5000) x1  12 Ga 3.60

Computed properties:
DFT formation energy   1726 meV per atom
Relative energy among the computed polymorphs   1071 meV per atom
Electronic total energy   -11.3 eV per formula unit



Entry 8:
VASP calculation (PBE-GGA) on a geometry-optimized TeOsRh structure.

Unit cell a=2.9701 b=5.0948 c=14.0912 alpha=90.00 beta=90.00 gamma=90.00
With the nearest neighbours (Å) after each atom.
Space group Fmm2 (No. 42)
Symmetry-distinct sites (fractional):
Te (0.0000, 0.0000, 0.0000) x4  2 Os 2.85, 2 Rh 2.89, 6 Te 2.95-2.97
Os (0.0000, 0.0000, 0.6724) x4  2 Rh 2.60, 2 Te 2.85
Rh (0.0000, 0.0000, 0.3238) x4  2 Os 2.60, 2 Te 2.89

Computed properties:
Formation energy without anion corrections   2.65 eV per formula unit
Relative energy among the computed polymorphs   533 meV per atom
Electronic total energy   -19.1 eV per formula unit



Entry 9:
VASP calculation (PBE-GGA) on a geometry-optimized CrCuSbTe2 structure.

Unit cell a=5.2148 b=5.2148 c=5.0153 alpha=90.00 beta=90.00 gamma=90.00
With the nearest neighbours (Å) after each atom.
Space group P4/mmm (No. 123)
Symmetry-distinct sites (fractional):
Cr (0.0000, 0.0000, 0.0000) x1  2 Sb 2.51, 4 Te 2.61
Cu (0.5000, 0.5000, 0.5000) x1  8 Te 3.62, 4 Sb 3.69
Sb (0.0000, 0.0000, 0.5000) x1  2 Cr 2.51
Te (0.0000, 0.5000, 0.0000) x2  2 Cr 2.61

Computed properties:
Formation energy without anion corrections   3.34 eV per formula unit
Relative energy among the computed polymorphs   0 meV per atom
Electronic total energy   -20.8 eV per formula unit



Entry 10:
VASP calculation (PBE-GGA) on a geometry-optimized TbTm4Cu4 structure.

Unit cell a=8.7345 b=8.7345 c=5.6592 alpha=90.00 beta=90.00 gamma=90.00
With the nearest neighbours (Å) after each atom.
Space group P4_2/n (No. 86, origin choice 2)
Symmetry-distinct sites (fractional):
Tb (0.2500, 0.2500, 0.2500) x2  4 Cu 2.77
Tm (0.0695, 0.6609, 0.1513) x8  5 Cu 2.75-3.01
Cu (0.0269, 0.6130, 0.6367) x8  1 Cu 2.55, 3 Tm 2.75-2.81, 1 Tb 2.77

Computed properties:
DFT formation energy   -49 meV per atom
Electronic total energy   -39.3 eV per formula unit



Entry 11:
VASP calculation (PBE-GGA) on a geometry-optimized CuRe2Te structure.

Unit cell a=3.2079 b=3.2079 c=6.2890 alpha=90.00 beta=90.00 gamma=90.00
With the nearest neighbours (Å) after each atom.
Space group P4mm (No. 99)
Symmetry-distinct sites (fractional):
Cu (0.0000, 0.0000, 0.0000) x1  5 Re 2.66-2.84, 4 Te 2.77
Re (0.0000, 0.0000, 0.4521) x1  4 Re 2.70, 1 Cu 2.84, 4 Te 2.93
Re (0.5000, 0.5000, 0.2199) x1  4 Cu 2.66, 4 Re 2.70, 1 Te 2.97
Te (0.5000, 0.5000, 0.7478) x1  4 Cu 2.77, 5 Re 2.93-2.97

Computed properties:
Formation energy without anion corrections   2.13 eV per formula unit
Electronic total energy   -30.0 eV per formula unit



Entry 12:
VASP calculation (PBE-GGA) on a geometry-optimized SrDyAg4 structure.

Unit cell a=8.2351 b=8.2351 c=8.2351 alpha=90.00 beta=90.00 gamma=90.00
With the nearest neighbours (Å) after each atom.
Space group F-43m (No. 216)
Symmetry-distinct sites (fractional):
Sr (0.0000, 0.0000, 0.0000) x4  12 Ag 3.41, 4 Dy 3.57
Dy (0.2500, 0.2500, 0.7500) x4  12 Ag 3.41, 4 Sr 3.57
Ag (0.1247, 0.1247, 0.3753) x16  6 Ag 2.91-2.92

Computed properties:
DFT formation energy   -133 meV per atom
Electronic total energy   -18.5 eV per formula unit



Entry 13:
VASP calculation (PBE-GGA) on a geometry-optimized Sm4Dy4Sc3 structure.

Unit cell a=3.4215 b=5.5568 c=17.7234 alpha=81.01 beta=84.47 gamma=90.00
With the nearest neighbours (Å) after each atom.
Space group P-1 (No. 2)
Symmetry-distinct sites (fractional):
Sm (0.0891, 0.0900, 0.3212) x2  3 Dy 3.12-3.17, 2 Sm 3.42
Sm (0.2307, 0.7305, 0.0391) x2  4 Dy 3.31-3.59, 6 Sm 3.42-3.54
Dy (0.0452, 0.5463, 0.4087) x2  2 Sm 3.17, 3 Dy 3.18-3.42, 2 Sc 3.54
Dy (0.1783, 0.1791, 0.1421) x2  3 Sm 3.12-3.31, 2 Dy 3.42
Sc (0.3660, 0.3651, 0.7690) x2  2 Sc 3.42, 6 Dy 3.54-3.61, 6 Sm 3.62-3.76
Sc (0.5000, 0.0000, 0.5000) x1  2 Sc 3.42, 4 Sm 3.55-3.56, 8 Dy 3.63

Computed properties:
DFT formation energy   107 meV per atom
Electronic total energy   -55.1 eV per formula unit